Se2IBr2 | PBE | optimized geometry

E_form (uncorrected)	0.13	eV/atom
calculated density	4.33	Mg/m³
energy above the lowest structure with this stoichiometry	7.8	meV/atom
space-group type	P4/mbm

Cell lengths 8.1001, 8.1001, 5.2025 Å; angles 90.00, 90.00, 90.00 degrees
Positions (direct):
Se (0.1066, 0.3934, 0.0000)
Se (0.3934, 0.8934, 0.0000)
Se (0.6066, 0.1066, 0.0000)
Se (0.8934, 0.6066, 0.0000)
I (0.0000, 0.0000, 0.0000)
I (0.5000, 0.5000, 0.0000)
Br (0.1457, 0.3543, 0.5000)
Br (0.3543, 0.8543, 0.5000)
Br (0.6457, 0.1457, 0.5000)
Br (0.8543, 0.6457, 0.5000)